The following is a GGA+U calculation of Rb2LaCoF6 after structural relaxation, from Alexandria via LeMat-Bulk.

abc: 6.438 6.438 6.450
angles: 60.06 60.06 90.00
Each line ends with the local moment (μB).
Positions (direct):
F (0.253, 0.253, 0.494)  0.01
F (0.747, 0.747, 0.506)  0.01
F (0.254, 0.254, 0.000)  0.01
F (0.746, 0.746, 0.000)  0.01
F (0.746, 0.254, 0.000)  0.01
F (0.254, 0.746, 0.000)  0.01
Co (0.500, 0.500, 0.000)  1.96
Rb (0.750, 0.250, 0.500)  0.00
Rb (0.250, 0.750, 0.500)  0.00
La (0.000, 0.000, 0.000)  0.01

Summary:
As for the crystal system: tetragonal. The value obtained for the energy is -5.21 eV per atom.